No. 1
The following is a SCAN calculation of a PBEsol-optimized structure of Lu2AgPt, from the Alexandria database.

Computed properties:
Energy of formation = -1.008 eV per atom
Crystal system = cubic
Density of states at the Fermi level = 1.96 states/eV/f.u.

Cell: 6.8384 6.8384 6.8384 Å, 90.00 90.00 90.00°
Closest atoms and distances in Å follow each position.
Space group Fm-3m (No. 225)
Unique sites:
Lu 0.2500 0.2500 0.2500 [8 per cell]  4 Pt 2.96, 4 Ag 2.96
Ag 0.0000 0.0000 0.0000 [4 per cell]  8 Lu 2.96
Pt 0.0000 0.0000 0.5000 [4 per cell]  8 Lu 2.96



No. 2
The following is a SCAN calculation of a PBEsol-optimized structure of MgOsPt3, from the Alexandria database.

Computed properties:
Energy of formation = 1.572 eV per atom
Crystal system = cubic
Density of states at the Fermi level = 4.57 states/eV/f.u.

Cell: 4.4367 4.4367 4.4367 Å, 90.00 90.00 90.00°
Closest atoms and distances in Å follow each position.
Space group Pm-3m (No. 221)
Unique sites:
Mg 0.0000 0.0000 0.0000 [1 per cell]  6 Pt 2.22
Os 0.5000 0.5000 0.5000 [1 per cell]  12 Pt 3.14
Pt 0.0000 0.0000 0.5000 [3 per cell]  2 Mg 2.22



No. 3
The following is a SCAN calculation of a PBEsol-optimized structure of Sr2RhW, from the Alexandria database.

Computed properties:
Energy of formation = 0.418 eV per atom
Crystal system = tetragonal
Density of states at the Fermi level = 4.36 states/eV/f.u.

Cell: 3.3364 3.3364 9.4550 Å, 90.00 90.00 90.00°
Closest atoms and distances in Å follow each position.
Space group P4mm (No. 99)
Unique sites:
Sr 0.0000 0.0000 0.0000 [1 per cell]  4 Rh 3.30, 1 W 3.33, 4 Sr 3.34
Sr 0.5000 0.5000 0.3920 [1 per cell]  4 Sr 3.34, 4 W 3.38, 1 Rh 3.44
Rh 0.5000 0.5000 0.7556 [1 per cell]  4 W 2.57
W 0.0000 0.0000 0.6483 [1 per cell]  4 Rh 2.57



No. 4
The following is a SCAN calculation of a PBEsol-optimized structure of FeCu2Ir, from the Alexandria database.

Computed properties:
Energy of formation = 0.072 eV per atom
Crystal system = orthorhombic
Density of states at the Fermi level = 2.22 states/eV/f.u.

Cell: 2.5801 3.7491 5.0551 Å, 90.00 90.00 90.00°
Closest atoms and distances in Å follow each position.
Space group Pmmm (No. 47)
Unique sites:
Fe 0.0000 0.0000 0.0000 [1 per cell]  2 Ir 2.53, 2 Fe 2.58, 8 Cu 2.59
Cu 0.5000 0.5000 0.2439 [2 per cell]  4 Cu 2.47-2.59, 4 Fe 2.59, 4 Ir 2.62
Ir 0.0000 0.0000 0.5000 [1 per cell]  2 Fe 2.53, 2 Ir 2.58, 8 Cu 2.62



No. 5
The following is a SCAN calculation of a PBEsol-optimized structure of SbMoCl3, from the Alexandria database.

Computed properties:
Formation energy without anion corrections = 0.29 eV/f.u.
Crystal system = cubic
Density of states at the Fermi level = 4.30 states/eV/f.u.

Cell: 4.7775 4.7775 4.7775 Å, 90.00 90.00 90.00°
Closest atoms and distances in Å follow each position.
Space group Pm-3m (No. 221)
Unique sites:
Sb 0.0000 0.0000 0.0000 [1 per cell]  12 Cl 3.38
Mo 0.5000 0.5000 0.5000 [1 per cell]  6 Cl 2.39
Cl 0.0000 0.5000 0.5000 [3 per cell]  2 Mo 2.39



No. 6
The following is a SCAN calculation of a PBEsol-optimized structure of KZrSb2, from the Alexandria database.

Computed properties:
Formation energy without anion corrections = -2.39 eV/f.u.
Crystal system = orthorhombic
Density of states at the Fermi level = 1.46 states/eV/f.u.

Cell: 3.1475 3.9010 8.7418 Å, 90.00 90.00 90.00°
Closest atoms and distances in Å follow each position.
Space group Pmmm (No. 47)
Unique sites:
K 0.0000 0.0000 0.0000 [1 per cell]  2 K 3.15
Zr 0.0000 0.0000 0.5000 [1 per cell]  8 Sb 3.09, 2 Zr 3.15
Sb 0.5000 0.5000 0.2938 [2 per cell]  4 Zr 3.09, 2 Sb 3.15



No. 7
The following is a SCAN calculation of a PBEsol-optimized structure of Nb2SbO6, from the Alexandria database.

Computed properties:
Formation energy without anion corrections = -21.05 eV/f.u.
Crystal system = monoclinic
Density of states at the Fermi level = 1.52 states/eV/f.u.

Cell: 17.0833 4.9651 5.5472 Å, 90.00 91.29 90.00°
Closest atoms and distances in Å follow each position.
Space group C2/c (No. 15)
Unique sites:
Nb 0.1727 0.2466 0.1594 [8 per cell]  5 O 1.89-2.05
Sb 0.0000 0.3005 0.7500 [4 per cell]  4 O 2.03-2.21
O 0.0664 0.4222 0.0791 [8 per cell]  2 Sb 2.03-2.21, 1 Nb 2.05
O 0.1387 0.0372 0.4217 [8 per cell]  2 Nb 1.89-2.01
O 0.2207 0.4384 0.8413 [8 per cell]  3 Nb 2.03-2.18



No. 8
The following is a SCAN calculation of a PBEsol-optimized structure of RbHfTe2I, from the Alexandria database.

Computed properties:
Formation energy without anion corrections = 6.29 eV/f.u.
Crystal system = tetragonal
Density of states at the Fermi level = 5.31 states/eV/f.u.

Cell: 5.8583 5.8583 5.9948 Å, 90.00 90.00 90.00°
Closest atoms and distances in Å follow each position.
Space group P4/mmm (No. 123)
Unique sites:
Rb 0.0000 0.0000 0.0000 [1 per cell]  4 Te 2.93, 2 I 3.00
Hf 0.5000 0.5000 0.5000 [1 per cell]  4 I 4.14, 8 Te 4.19
Te 0.0000 0.5000 0.0000 [2 per cell]  2 Rb 2.93
I 0.0000 0.0000 0.5000 [1 per cell]  2 Rb 3.00



No. 9
The following is a SCAN calculation of a PBEsol-optimized structure of CdBiSb2I, from the Alexandria database.

Computed properties:
Formation energy without anion corrections = 3.20 eV/f.u.
Crystal system = tetragonal
Density of states at the Fermi level = 5.44 states/eV/f.u.

Cell: 5.4745 5.4745 5.5027 Å, 90.00 90.00 90.00°
Closest atoms and distances in Å follow each position.
Space group P4/mmm (No. 123)
Unique sites:
Cd 0.0000 0.0000 0.0000 [1 per cell]  4 Sb 2.74, 2 I 2.75
Bi 0.5000 0.5000 0.5000 [1 per cell]  4 I 3.87, 8 Sb 3.88
Sb 0.0000 0.5000 0.0000 [2 per cell]  2 Cd 2.74
I 0.0000 0.0000 0.5000 [1 per cell]  2 Cd 2.75



No. 10
The following is a SCAN calculation of a PBEsol-optimized structure of Y3TaPd, from the Alexandria database.

Computed properties:
Energy of formation = 0.442 eV per atom
Crystal system = cubic
Density of states at the Fermi level = 7.45 states/eV/f.u.

Cell: 5.2222 5.2222 5.2222 Å, 90.00 90.00 90.00°
Closest atoms and distances in Å follow each position.
Space group Pm-3m (No. 221)
Unique sites:
Y 0.0000 0.0000 0.5000 [3 per cell]  2 Pd 2.61
Ta 0.5000 0.5000 0.5000 [1 per cell]  12 Y 3.69
Pd 0.0000 0.0000 0.0000 [1 per cell]  6 Y 2.61



No. 11
The following is a SCAN calculation of a PBEsol-optimized structure of CsZr3Tl, from the Alexandria database.

Computed properties:
Energy of formation = 1.245 eV per atom
Crystal system = cubic
Density of states at the Fermi level = 8.93 states/eV/f.u.

Cell: 5.4811 5.4811 5.4811 Å, 90.00 90.00 90.00°
Closest atoms and distances in Å follow each position.
Space group Pm-3m (No. 221)
Unique sites:
Cs 0.0000 0.0000 0.0000 [1 per cell]  12 Zr 3.88
Zr 0.0000 0.5000 0.5000 [3 per cell]  2 Tl 2.74
Tl 0.5000 0.5000 0.5000 [1 per cell]  6 Zr 2.74



No. 12
The following is a SCAN calculation of a PBEsol-optimized structure of PrZnRh, from the Alexandria database.

Computed properties:
Energy of formation = -0.694 eV per atom
Crystal system = orthorhombic
Density of states at the Fermi level = 1.27 states/eV/f.u.

Cell: 7.0046 4.0965 8.1410 Å, 90.00 90.00 90.00°
Closest atoms and distances in Å follow each position.
Space group Pnma (No. 62)
Unique sites:
Pr 0.0350 0.2500 0.1877 [4 per cell]  5 Rh 2.95-2.97, 5 Zn 3.13-3.23
Zn 0.1386 0.2500 0.5635 [4 per cell]  4 Rh 2.62-2.73
Rh 0.2384 0.7500 0.3817 [4 per cell]  4 Zn 2.62-2.73



No. 13
The following is a SCAN calculation of a PBEsol-optimized structure of Cd2RuBr, from the Alexandria database.

Computed properties:
Formation energy without anion corrections = 0.60 eV/f.u.
Crystal system = orthorhombic
Density of states at the Fermi level = 1.78 states/eV/f.u.

Cell: 3.0758 3.2341 8.1562 Å, 90.00 90.00 90.00°
Closest atoms and distances in Å follow each position.
Space group Pmmm (No. 47)
Unique sites:
Cd 0.0000 0.0000 0.2080 [2 per cell]  4 Ru 2.80, 2 Br 2.88, 2 Cd 3.08
Ru 0.5000 0.5000 0.0000 [1 per cell]  8 Cd 2.80, 2 Ru 3.08
Br 0.0000 0.5000 0.5000 [1 per cell]  4 Cd 2.88, 2 Br 3.08



No. 14
The following is a SCAN calculation of a PBEsol-optimized structure of ScTa2Fe, from the Alexandria database.

Computed properties:
Energy of formation = 0.230 eV per atom
Crystal system = tetragonal
Density of states at the Fermi level = 4.69 states/eV/f.u.

Cell: 3.8077 3.8077 9.1978 Å, 90.00 90.00 90.00°
Closest atoms and distances in Å follow each position.
Space group I4/mmm (No. 139)
Unique sites:
Sc 0.0000 0.0000 0.0000 [2 per cell]  4 Fe 2.69, 8 Ta 2.99
Ta 0.0000 0.5000 0.2500 [4 per cell]  4 Ta 2.69, 4 Fe 2.99, 4 Sc 2.99
Fe 0.0000 0.0000 0.5000 [2 per cell]  4 Sc 2.69, 8 Ta 2.99



No. 15
The following is a SCAN calculation of a PBEsol-optimized structure of VGaNi6, from the Alexandria database.

Computed properties:
Energy of formation = -0.282 eV per atom
Crystal system = tetragonal
Density of states at the Fermi level = 2.86 states/eV/f.u.

Cell: 3.5116 3.5116 7.0172 Å, 90.00 90.00 90.00°
Closest atoms and distances in Å follow each position.
Space group P4/mmm (No. 123)
Unique sites:
V 0.0000 0.0000 0.0000 [1 per cell]  12 Ni 2.45-2.48
Ga 0.0000 0.0000 0.5000 [1 per cell]  12 Ni 2.48-2.51
Ni 0.0000 0.5000 0.2434 [4 per cell]  8 Ni 2.45-2.51, 2 V 2.45, 2 Ga 2.51
Ni 0.5000 0.5000 0.0000 [1 per cell]  8 Ni 2.45, 4 V 2.48
Ni 0.5000 0.5000 0.5000 [1 per cell]  4 Ga 2.48, 8 Ni 2.51



No. 16
The following is a SCAN calculation of a PBEsol-optimized structure of Ta2PtAu, from the Alexandria database.

Computed properties:
Energy of formation = -0.479 eV per atom
Crystal system = tetragonal
Density of states at the Fermi level = 2.04 states/eV/f.u.

Cell: 2.8254 2.8254 8.2081 Å, 90.00 90.00 90.00°
Closest atoms and distances in Å follow each position.
Space group P4/mmm (No. 123)
Unique sites:
Ta 0.0000 0.0000 0.2440 [2 per cell]  4 Ta 2.83, 4 Pt 2.83, 4 Au 2.90
Pt 0.5000 0.5000 0.0000 [1 per cell]  4 Pt 2.83, 8 Ta 2.83
Au 0.5000 0.5000 0.5000 [1 per cell]  4 Au 2.83, 8 Ta 2.90



No. 17
The following is a SCAN calculation of a PBEsol-optimized structure of LiLaNi4, from the Alexandria database.

Computed properties:
Energy of formation = -0.218 eV per atom
Crystal system = cubic
Density of states at the Fermi level = 4.52 states/eV/f.u.

Cell: 6.9248 6.9248 6.9248 Å, 90.00 90.00 90.00°
Closest atoms and distances in Å follow each position.
Space group F-43m (No. 216)
Unique sites:
Li 0.0000 0.0000 0.0000 [4 per cell]  12 Ni 2.87, 4 La 3.00
La 0.2500 0.2500 0.7500 [4 per cell]  12 Ni 2.87, 4 Li 3.00
Ni 0.1260 0.1260 0.3740 [16 per cell]  6 Ni 2.43-2.47



No. 18
The following is a SCAN calculation of a PBEsol-optimized structure of TlGa3O, from the Alexandria database.

Computed properties:
Formation energy without anion corrections = -0.18 eV/f.u.
Crystal system = cubic
Density of states at the Fermi level = 2.60 states/eV/f.u.

Cell: 4.4940 4.4940 4.4940 Å, 90.00 90.00 90.00°
Closest atoms and distances in Å follow each position.
Space group Pm-3m (No. 221)
Unique sites:
Tl 0.0000 0.0000 0.0000 [1 per cell]  12 Ga 3.18
Ga 0.0000 0.5000 0.5000 [3 per cell]  2 O 2.25
O 0.5000 0.5000 0.5000 [1 per cell]  6 Ga 2.25



No. 19
The following is a SCAN calculation of a PBEsol-optimized structure of ZnBiNO2, from the Alexandria database.

Computed properties:
Formation energy without anion corrections = 2.57 eV/f.u.
Crystal system = tetragonal
Density of states at the Fermi level = 2.65 states/eV/f.u.

Cell: 4.1189 4.1189 4.2951 Å, 90.00 90.00 90.00°
Closest atoms and distances in Å follow each position.
Space group P4/mmm (No. 123)
Unique sites:
Zn 0.0000 0.0000 0.0000 [1 per cell]  4 N 2.91, 8 O 2.98
Bi 0.5000 0.5000 0.5000 [1 per cell]  4 O 2.06, 2 N 2.15
N 0.5000 0.5000 0.0000 [1 per cell]  2 Bi 2.15
O 0.0000 0.5000 0.5000 [2 per cell]  2 Bi 2.06



No. 20
The following is a SCAN calculation of a PBEsol-optimized structure of BeHg2Br, from the Alexandria database.

Computed properties:
Formation energy without anion corrections = 0.81 eV/f.u.
Crystal system = tetragonal
Density of states at the Fermi level = 1.03 states/eV/f.u.

Cell: 3.1513 3.1513 8.4710 Å, 90.00 90.00 90.00°
Closest atoms and distances in Å follow each position.
Space group P4mm (No. 99)
Unique sites:
Be 0.0000 0.0000 0.0000 [1 per cell]  4 Br 2.59, 4 Hg 2.82
Hg 0.0000 0.0000 0.5075 [1 per cell]  8 Hg 3.15-3.30
Hg 0.5000 0.5000 0.7955 [1 per cell]  4 Be 2.82, 1 Br 3.06, 4 Hg 3.15
Br 0.5000 0.5000 0.1565 [1 per cell]  4 Be 2.59